[1]
A relaxed La2AsIr crystal. Source: Alexandria via LeMat-Bulk, functional PBE-GGA.

Summary:
As for the crystal system: orthorhombic. As for the density of states at the Fermi level: 1.4 states/eV/f.u. The value obtained for the energy of formation from the pure elements is -3.47 eV per formula unit. The space group is Imm2 (44). The value obtained for the total magnetic moment is 0.000 μB/atom.

Cell: 6.4442 6.4442 6.4442 Å, 144.40 140.41 54.29°
Last column: nearest neighbours and their distance in Å.
Sites, in units of the cell vectors:
La 0.0000 0.0000 0.0000  4 As 3.06, 2 La 3.39
La 0.7260 0.2260 0.5000  4 Ir 2.97, 2 As 3.17
As 0.4259 0.4259 0.0000  2 Ir 2.74, 4 La 3.06
Ir 0.2602 0.7602 0.5000  2 As 2.74, 4 La 2.97

[2]
A relaxed La4Tb3Sc crystal. Source: Alexandria via LeMat-Bulk, functional PBE-GGA.

Summary:
As for the crystal system: monoclinic. As for the density of states at the Fermi level: 12.2 states/eV/f.u. The value obtained for the energy of formation from the pure elements is 1.86 eV per formula unit. The space group is C2/m (12). The value obtained for the total magnetic moment is 0.000 μB/atom.

Cell: 12.8058 12.8058 6.1332 Å, 94.40 94.40 15.51°
Last column: nearest neighbours and their distance in Å.
Sites, in units of the cell vectors:
La 0.1017 0.1017 0.2154  3 Tb 3.21-3.26, 2 Sc 3.30, 4 La 3.42-3.46
La 0.2818 0.2818 0.7595  4 La 3.42-3.46, 1 Tb 3.53
La 0.7182 0.7182 0.2405  4 La 3.42-3.46, 1 Tb 3.53
La 0.8983 0.8983 0.7846  3 Tb 3.21-3.26, 2 Sc 3.30, 4 La 3.42-3.46
Tb 0.0000 0.0000 0.5000  2 La 3.23, 2 Tb 3.46, 4 Sc 3.52
Tb 0.1422 0.1422 0.7246  3 La 3.21-3.53, 2 Tb 3.46
Tb 0.8578 0.8578 0.2754  3 La 3.21-3.53, 2 Tb 3.46
Sc 0.5000 0.5000 0.0000  4 La 3.30, 2 Sc 3.46, 4 Tb 3.52

[3]
A relaxed Ca2CuBr crystal. Source: Alexandria via LeMat-Bulk, functional PBE-GGA.

Summary:
As for the crystal system: orthorhombic. As for the density of states at the Fermi level: 3.2 states/eV/f.u. Its uncorrected formation energy is -0.615 eV per atom. The space group is Amm2 (38). The value obtained for the total magnetic moment is 0.176 μB/atom.

Cell: 6.1057 4.2611 4.2611 Å, 90.00 90.00 90.00°
Last column: nearest neighbours and their distance in Å.
Sites, in units of the cell vectors:
Ca 0.0000 0.0000 0.0000  4 Br 3.01, 2 Cu 3.05
Ca 0.5000 0.4986 0.4986  4 Cu 3.01-3.02, 2 Br 3.05
Cu 0.5000 0.9980 0.9980  6 Ca 3.01-3.05
Br 0.0000 0.5000 0.5000  6 Ca 3.01-3.05

[4]
A relaxed NaInGaF6 crystal. Source: Alexandria via LeMat-Bulk, functional PBE-GGA.

Summary:
As for the crystal system: trigonal. As for the density of states at the Fermi level: 2.7 states/eV/f.u. Its uncorrected formation energy is -2.466 eV per atom. The space group is P-31c (163). The value obtained for the total magnetic moment is 0.000 μB/atom.

Cell: 5.7022 5.7022 9.4284 Å, 90.00 90.00 120.00°
Last column: nearest neighbours and their distance in Å.
Sites, in units of the cell vectors:
Na 0.0000 0.0000 0.0000  6 F 2.43
Na 0.0000 0.0000 0.5000  6 F 2.43
In 0.3333 0.6667 0.2500  6 F 2.32
In 0.6667 0.3333 0.7500  6 F 2.32
Ga 0.3333 0.6667 0.7500  6 F 1.94
Ga 0.6667 0.3333 0.2500  6 F 1.94
F 0.0487 0.3829 0.6359  1 Ga 1.94
F 0.0487 0.6658 0.8641  1 Ga 1.94
F 0.3342 0.3829 0.8641  1 Ga 1.94
F 0.3342 0.9513 0.6359  1 Ga 1.94
F 0.3829 0.0487 0.1359  1 Ga 1.94
F 0.3829 0.3342 0.3641  1 Ga 1.94
F 0.6171 0.6658 0.6359  1 Ga 1.94
F 0.6171 0.9513 0.8641  1 Ga 1.94
F 0.6658 0.0487 0.3641  1 Ga 1.94
F 0.6658 0.6171 0.1359  1 Ga 1.94
F 0.9513 0.3342 0.1359  1 Ga 1.94
F 0.9513 0.6171 0.3641  1 Ga 1.94